Density functional theory data (PBE) for crystalline LiAcLaSe3 at its relaxed geometry.

For the density of states at the Fermi level, the calculation gives 2.52 states/eV/f.u. The raw formation energy comes out at -1.78 eV per atom.

abc: 8.974 4.213 9.183
angles: 90.00 102.14 90.00
Space group P2_1/m (No. 11)
One atom of each set of equivalent atoms:
Li (0.085, 0.250, 0.086) [2 per cell]
Ac (0.179, 0.250, 0.722) [2 per cell]
La (0.340, 0.750, 0.334) [2 per cell]
Se (0.098, 0.250, 0.365) [2 per cell]
Se (0.203, 0.750, 0.998) [2 per cell]
Se (0.422, 0.750, 0.676) [2 per cell]

Density functional theory data (PBE) for crystalline VH2S at its relaxed geometry.

For the density of states at the Fermi level, the calculation gives 2.97 states/eV/f.u. The total energy is -4.46 eV/atom.

abc: 5.238 5.238 5.238
angles: 90.00 90.00 90.00
Space group Fm-3m (No. 225)
One atom of each set of equivalent atoms:
V (0.000, 0.000, 0.000) [4 per cell]
H (0.250, 0.250, 0.250) [8 per cell]
S (0.000, 0.000, 0.500) [4 per cell]

Density functional theory data (PBE) for crystalline TiRh3N at its relaxed geometry.

For the density of states at the Fermi level, the calculation gives 3.83 states/eV/f.u. The raw formation energy comes out at -0.10 eV per atom.

abc: 4.068 4.068 4.068
angles: 90.00 90.00 90.00
Space group Pm-3m (No. 221)
One atom of each set of equivalent atoms:
Ti (0.000, 0.000, 0.000) [1 per cell]
Rh (0.000, 0.500, 0.500) [3 per cell]
N (0.500, 0.500, 0.500) [1 per cell]

Density functional theory data (PBE) for crystalline AcPrNdDy2 at its relaxed geometry.

For the density of states at the Fermi level, the calculation gives 8.42 states/eV/f.u. As for the energy of formation: 0.34 eV/atom.

abc: 6.637 17.536 6.511
angles: 90.00 90.00 90.00
Space group Cmcm (No. 63)
One atom of each set of equivalent atoms:
Ac (0.000, 0.156, 0.250) [4 per cell]
Pr (0.000, 0.348, 0.250) [4 per cell]
Nd (0.000, 0.282, 0.750) [4 per cell]
Dy (0.243, 0.500, 0.000) [8 per cell]

Density functional theory data (PBE) for crystalline LiMg3Cd8 at its relaxed geometry.

For the density of states at the Fermi level, the calculation gives 4.73 states/eV/f.u. As for the energy of formation: 0.09 eV/atom.

abc: 7.795 7.795 9.968
angles: 90.00 90.00 90.00
Space group I-42m (No. 121)
One atom of each set of equivalent atoms:
Li (0.000, 0.000, 0.000) [2 per cell]
Mg (0.000, 0.000, 0.500) [2 per cell]
Mg (0.000, 0.500, 0.250) [4 per cell]
Cd (0.132, 0.132, 0.229) [8 per cell]
Cd (0.234, 0.234, 0.966) [8 per cell]

Density functional theory data (PBE) for crystalline Ac2As4Rh5 at its relaxed geometry.

For the density of states at the Fermi level, the calculation gives 8.25 states/eV/f.u. As for the energy of formation: -0.77 eV/atom.

abc: 5.686 10.283 14.959
angles: 90.00 90.00 90.00
Space group Fmmm (No. 69)
One atom of each set of equivalent atoms:
Ac (0.000, 0.000, 0.134) [8 per cell]
As (0.000, 0.161, 0.374) [16 per cell]
Rh (0.000, 0.000, 0.500) [4 per cell]
Rh (0.250, 0.250, 0.000) [8 per cell]
Rh (0.250, 0.250, 0.250) [8 per cell]

Density functional theory data (PBE) for crystalline Tl2AgRu at its relaxed geometry.

For the density of states at the Fermi level, the calculation gives 2.77 states/eV/f.u. As for the energy of formation: 0.51 eV/atom.

abc: 3.726 3.726 5.938
angles: 90.00 90.00 90.00
Space group P4mm (No. 99)
One atom of each set of equivalent atoms:
Tl (0.000, 0.000, 0.000) [1 per cell]
Tl (0.500, 0.500, 0.320) [1 per cell]
Ag (0.000, 0.000, 0.538) [1 per cell]
Ru (0.500, 0.500, 0.807) [1 per cell]

Density functional theory data (PBE) for crystalline LiZrMo2 at its relaxed geometry.

For the density of states at the Fermi level, the calculation gives 3.77 states/eV/f.u. As for the energy of formation: 0.37 eV/atom.

abc: 2.645 4.371 5.968
angles: 90.00 90.00 90.00
Space group Pmm2 (No. 25)
One atom of each set of equivalent atoms:
Li (0.000, 0.000, 0.000) [1 per cell]
Zr (0.500, 0.500, 0.742) [1 per cell]
Mo (0.000, 0.000, 0.465) [1 per cell]
Mo (0.500, 0.500, 0.247) [1 per cell]

Density functional theory data (PBE) for crystalline UGeI6 at its relaxed geometry.

For the density of states at the Fermi level, the calculation gives 4.75 states/eV/f.u. The raw formation energy comes out at -0.60 eV per atom.

abc: 7.465 14.249 7.464
angles: 90.00 107.92 90.00
Space group C2/m (No. 12)
One atom of each set of equivalent atoms:
U (0.000, 0.000, 0.000) [2 per cell]
Ge (0.000, 0.500, 0.500) [2 per cell]
I (0.249, 0.146, 0.252) [8 per cell]
I (0.250, 0.000, 0.754) [4 per cell]

Density functional theory data (PBE) for crystalline Sm4BSb2 at its relaxed geometry.

For the density of states at the Fermi level, the calculation gives 3.94 states/eV/f.u. The raw formation energy comes out at -0.67 eV per atom.

abc: 4.994 4.994 16.198
angles: 90.00 90.00 90.00
Space group I4/mmm (No. 139)
One atom of each set of equivalent atoms:
Sm (0.000, 0.000, 0.163) [4 per cell]
Sm (0.000, 0.500, 0.000) [4 per cell]
B (0.000, 0.000, 0.000) [2 per cell]
Sb (0.000, 0.000, 0.361) [4 per cell]

Density functional theory data (PBE) for crystalline SrCeRuN3 at its relaxed geometry.

For the density of states at the Fermi level, the calculation gives 2.70 states/eV/f.u. The raw formation energy comes out at -0.68 eV per atom.

abc: 7.430 3.564 8.540
angles: 90.00 101.22 90.00
Space group P2_1/m (No. 11)
One atom of each set of equivalent atoms:
Sr (0.173, 0.250, 0.161) [2 per cell]
Ce (0.354, 0.750, 0.843) [2 per cell]
Ru (0.045, 0.250, 0.613) [2 per cell]
N (0.119, 0.250, 0.849) [2 per cell]
N (0.160, 0.750, 0.578) [2 per cell]
N (0.431, 0.750, 0.119) [2 per cell]

Density functional theory data (PBE) for crystalline NdThTeRu at its relaxed geometry.

For the density of states at the Fermi level, the calculation gives 2.85 states/eV/f.u. The raw formation energy comes out at -0.79 eV per atom.

abc: 4.1715 4.1715 22.9776
angles: 90.00 90.00 120.00
Space group R3m (No. 160, hexagonal axes)
One atom of each set of equivalent atoms:
Nd (0.0000, 0.0000, 0.0000) [3 per cell]
Th (0.0000, 0.0000, 0.8030) [3 per cell]
Te (0.0000, 0.0000, 0.2365) [3 per cell]
Ru (0.0000, 0.0000, 0.4098) [3 per cell]

Density functional theory data (PBE) for crystalline Hf8Zr2Pa at its relaxed geometry.

For the density of states at the Fermi level, the calculation gives 15.38 states/eV/f.u. As for the energy of formation: 0.07 eV/atom.

abc: 3.158 7.801 10.561
angles: 102.66 98.46 90.15
Space group P-1 (No. 2)
One atom of each set of equivalent atoms:
Hf (0.050, 0.375, 0.098) [2 per cell]
Hf (0.137, 0.098, 0.277) [2 per cell]
Hf (0.319, 0.550, 0.637) [2 per cell]
Hf (0.411, 0.267, 0.824) [2 per cell]
Zr (0.225, 0.814, 0.449) [2 per cell]
Pa (0.500, 0.000, 0.000) [1 per cell]